First-principles (GGA-PBE) data for an optimized crystal structure of CsSn5Br11, as listed in Alexandria.

The structure in POSCAR format:
```
CsSn5Br11
1.0
5.094 -7.724 0.000
5.094 7.724 0.000
-3.136 0.000 8.966
Cs Sn Br
1 5 11
direct
0.000 0.000 0.000 Cs
0.060 0.362 0.653 Sn
0.362 0.060 0.653 Sn
0.500 0.500 0.000 Sn
0.638 0.940 0.347 Sn
0.940 0.638 0.347 Sn
0.000 0.000 0.500 Br
0.144 0.703 0.680 Br
0.149 0.415 0.967 Br
0.297 0.856 0.320 Br
0.402 0.402 0.659 Br
0.415 0.149 0.967 Br
0.585 0.851 0.033 Br
0.598 0.598 0.341 Br
0.703 0.144 0.680 Br
0.851 0.585 0.033 Br
0.856 0.297 0.320 Br
```

## Properties
Calculated volume   705.6 Å³/cell
Crystal system   monoclinic
Uncorrected formation energy   -83.1 kJ/mol of atoms